# TlCuPd2F8, relaxed, DFT GGA-PBE
data_TlCuPd2F8
_chemical_formula_sum 'Tl1 Cu1 Pd2 F8'
_cell_length_a 4.418
_cell_length_b 4.903
_cell_length_c 8.311
_cell_angle_alpha 87.75
_cell_angle_beta 89.71
_cell_angle_gamma 88.96
_symmetry_space_group_name_H-M 'P -1'
_symmetry_Int_Tables_number 2
_symmetry_space_group_name_Hall '-P 1'
loop_
_atom_site_label
_atom_site_type_symbol
_atom_site_fract_x
_atom_site_fract_y
_atom_site_fract_z
Tl1 Tl 0.000 0.000 0.000
Cu1 Cu 0.000 0.000 0.500
Pd1 Pd 0.440 0.501 0.276
F1 F 0.101 0.770 0.319
F2 F 0.208 0.742 0.760
F3 F 0.332 0.249 0.464
F4 F 0.470 0.255 0.912
# **Formation energy (no corrections)**: -132.1 kJ per mole of atoms
# **Final energy**: -48.3 eV/f.u.
# **Crystal system**: triclinic
# **Total magnetization**: 1.266 Bohr magnetons per cell

---

# Tl2CuPdF6, relaxed, DFT GGA-PBE
data_Tl2CuPdF6
_chemical_formula_sum 'Tl12 Cu6 Pd6 F36'
_cell_length_a 6.0360
_cell_length_b 6.0360
_cell_length_c 30.8674
_cell_angle_alpha 90.00
_cell_angle_beta 90.00
_cell_angle_gamma 120.00
_symmetry_space_group_name_H-M 'R -3 m'
_symmetry_Int_Tables_number 166
_symmetry_space_group_name_Hall '-R 3 2"'
loop_
_atom_site_label
_atom_site_type_symbol
_atom_site_fract_x
_atom_site_fract_y
_atom_site_fract_z
Tl1 Tl 0.0000 0.0000 0.1269
Tl2 Tl 0.0000 0.0000 0.2835
Cu1 Cu 0.0000 0.0000 0.4066
Pd1 Pd 0.0000 0.0000 0.0000
Pd2 Pd 0.0000 0.0000 0.5000
F1 F 0.0020 0.5010 0.2940
F2 F 0.0236 0.5118 0.1182
# **Formation energy (no corrections)**: -147.0 kJ per mole of atoms
# **Final energy**: -40.5 eV/f.u.
# **Crystal system**: trigonal
# **Total magnetization**: 5.949 Bohr magnetons per cell

---

# Pm4Cu2F, relaxed, DFT GGA-PBE
data_Pm4Cu2F
_chemical_formula_sum 'Pm8 Cu4 F2'
_cell_length_a 4.906
_cell_length_b 4.906
_cell_length_c 14.157
_cell_angle_alpha 90.00
_cell_angle_beta 90.00
_cell_angle_gamma 90.00
_symmetry_space_group_name_H-M 'I 4/m m m'
_symmetry_Int_Tables_number 139
_symmetry_space_group_name_Hall '-I 4 2'
loop_
_atom_site_label
_atom_site_type_symbol
_atom_site_fract_x
_atom_site_fract_y
_atom_site_fract_z
Pm1 Pm 0.000 0.000 0.197
Pm2 Pm 0.000 0.500 0.000
Cu1 Cu 0.000 0.000 0.388
F1 F 0.000 0.000 0.000
# **Formation energy (no corrections)**: -69.7 kJ per mole of atoms
# **Final energy**: -34.1 eV/f.u.
# **Crystal system**: tetragonal
# **Total magnetization**: 0.000 Bohr magnetons per cell

---

Q: Look up the formation energy (no corrections) of the third one.
A: -69.7 kJ per mole of atoms

---

Q: Look up the final energy of the first one.
A: -48.3 eV/f.u.